Record 1
Material: Pm2Tc2O5
Method: DFT, PBE
State: optimized geometry Values from VASP.

```
&SYSTEM
  ibrav = 0, nat = 9, ntyp = 3
/
ATOMIC_SPECIES
O 16.00 O.upf
Pm 145.00 Pm.upf
Tc 98.00 Tc.upf
ATOMIC_POSITIONS angstrom
O 1.0928 -0.1524 1.8358
O -1.1855 2.9927 8.1296
O 0.5527 1.9892 0.5701
O -1.7256 5.1342 6.8640
O 0.8640 2.9157 4.5649
Pm 1.5855 1.9196 2.5717
Pm 0.1424 3.9117 6.5582
Tc 0.0000 0.0000 0.0000
Tc -1.4968 2.0662 4.1348
CELL_PARAMETERS angstrom
-2.9936 4.1324 8.2696
2.9008 -1.2921 1.6957
1.8207 2.9911 -0.8356
```

Computed properties:
Theoretical density: 7.5 Mg/m³
Crystal system: tetragonal
VASP energy: -68.47 eV for the cell shown
Space group: P4/mmm, No. 123



Record 2
Material: Pm2Tc2O5
Method: DFT, PBE
State: optimized geometry Values from VASP.

```
&SYSTEM
  ibrav = 0, nat = 9, ntyp = 3
/
ATOMIC_SPECIES
O 16.00 O.upf
Pm 145.00 Pm.upf
Tc 98.00 Tc.upf
ATOMIC_POSITIONS angstrom
O -2.0308 0.0490 1.5435
O -3.3844 2.8868 3.4172
O 0.5876 0.7557 2.3649
O -0.7660 3.5934 4.2386
O -1.5360 0.9991 4.0368
Pm 0.0000 0.0000 0.0000
Pm -1.2609 2.6434 1.7453
Tc -0.7130 -0.7262 2.8976
Tc -2.3590 2.7245 5.1760
CELL_PARAMETERS angstrom
-2.5217 5.2867 3.4907
-2.8936 -2.3509 1.4701
2.3433 -0.9376 3.1129
```

Computed properties:
Theoretical density: 8.6 Mg/m³
Crystal system: tetragonal
VASP energy: -72.81 eV for the cell shown
Space group: P4/mmm, No. 123



Record 3
Material: PmTe2O4
Method: DFT, PBE
State: optimized geometry Values from VASP.

```
&SYSTEM
  ibrav = 0, nat = 14, ntyp = 3
/
ATOMIC_SPECIES
O 16.00 O.upf
Pm 145.00 Pm.upf
Te 127.60 Te.upf
ATOMIC_POSITIONS angstrom
O 3.9881 -0.9644 -0.9644
O -2.0158 0.9644 -3.7400
O 0.9861 1.3878 -1.3878
O 2.0158 -0.9644 -3.7400
O 0.9861 3.3167 -3.3166
O 8.0198 0.9644 -0.9644
O 5.0178 3.3166 -1.3878
O 5.0178 1.3878 -3.3166
Pm 0.0000 0.0000 0.0000
Pm 3.0020 -2.3522 -2.3522
Te -1.5010 -1.1761 -3.5283
Te 4.5029 1.1761 -1.1761
Te 7.5049 -1.1761 -1.1761
Te 1.5010 1.1761 -3.5283
CELL_PARAMETERS angstrom
6.0039 -4.7044 0.0000
-6.0039 0.0000 -4.7044
6.0039 4.7044 0.0000
```

Computed properties:
Theoretical density: 5.8 Mg/m³
Crystal system: tetragonal
VASP energy: -80.90 eV for the cell shown
Space group: I4_1/amd, No. 141



Question: Which of these has the highest theoretical density?
Answer: number 2



What did the third record say?
Material: PmTe2O4
Method: DFT, PBE
State: optimized geometry Values from VASP.

```
&SYSTEM
  ibrav = 0, nat = 14, ntyp = 3
/
ATOMIC_SPECIES
O 16.00 O.upf
Pm 145.00 Pm.upf
Te 127.60 Te.upf
ATOMIC_POSITIONS angstrom
O 3.9881 -0.9644 -0.9644
O -2.0158 0.9644 -3.7400
O 0.9861 1.3878 -1.3878
O 2.0158 -0.9644 -3.7400
O 0.9861 3.3167 -3.3166
O 8.0198 0.9644 -0.9644
O 5.0178 3.3166 -1.3878
O 5.0178 1.3878 -3.3166
Pm 0.0000 0.0000 0.0000
Pm 3.0020 -2.3522 -2.3522
Te -1.5010 -1.1761 -3.5283
Te 4.5029 1.1761 -1.1761
Te 7.5049 -1.1761 -1.1761
Te 1.5010 1.1761 -3.5283
CELL_PARAMETERS angstrom
6.0039 -4.7044 0.0000
-6.0039 0.0000 -4.7044
6.0039 4.7044 0.0000
```

Computed properties:
Theoretical density: 5.8 Mg/m³
Crystal system: tetragonal
VASP energy: -80.90 eV for the cell shown
Space group: I4_1/amd, No. 141



Question: The highest VASP energy belongs to which entry?
Answer: number 1